## 1
Computed, not measured: a PBEsol-optimized structure of MgZn8Cu4 at the SCAN level of DFT.

Cell and atoms, written as POSCAR:
```
MgZn8Cu4
1.0
-4.836 4.836 1.825
4.836 -4.836 1.825
4.836 4.836 -1.825
Mg Zn Cu
1 8 4
Direct
0.000 0.000 0.000
0.075 0.381 0.456
0.155 0.770 0.925
0.230 0.155 0.384
0.381 0.925 0.306
0.619 0.075 0.694
0.770 0.845 0.616
0.845 0.230 0.075
0.925 0.619 0.544
0.302 0.537 0.840
0.463 0.302 0.765
0.537 0.698 0.235
0.698 0.463 0.160
```

Computed properties:
Total magnetic moment, μB per cell: 0.000
Volume, Å³/atom: 13.1

## 2
Computed, not measured: a PBEsol-optimized structure of MgZn8Cu4 at the SCAN level of DFT.

Cell and atoms, written as POSCAR:
```
MgZn8Cu4
1.0
-4.236 4.236 2.470
4.236 -4.236 2.470
4.236 4.236 -2.470
Mg Zn Cu
1 8 4
Direct
0.000 0.000 0.000
0.000 0.344 0.344
0.000 0.656 0.656
0.284 0.500 0.784
0.344 0.000 0.344
0.500 0.284 0.784
0.500 0.716 0.216
0.656 0.000 0.656
0.716 0.500 0.216
0.000 0.000 0.500
0.000 0.500 0.000
0.500 0.000 0.000
0.500 0.500 0.500
```

Computed properties:
Total magnetic moment, μB per cell: 0.000
Volume, Å³/atom: 13.6

The winner here is 2, beating the second structure by 65 meV per atom.

## 1
Computed, not measured: a PBEsol-optimized structure of Mg2Zn2Cu at the SCAN level of DFT.

Cell and atoms, written as POSCAR:
```
Mg2Zn2Cu
1.0
-2.084 2.518 3.934
2.084 -2.518 3.934
2.084 2.518 -3.934
Mg Zn Cu
2 2 1
Direct
0.190 0.190 0.000
0.810 0.810 0.000
0.244 0.500 0.744
0.756 0.500 0.256
0.500 0.000 0.500
```

Computed properties:
Total magnetic moment, μB per cell: 0.000
Volume, Å³/atom: 16.5

## 2
Computed, not measured: a PBEsol-optimized structure of Mg2Zn2Cu at the SCAN level of DFT.

Cell and atoms, written as POSCAR:
```
Mg2Zn2Cu
1.0
2.213 1.278 4.594
-2.213 1.278 4.594
0.000 -2.555 4.594
Mg Zn Cu
2 2 1
Direct
0.107 0.107 0.107
0.893 0.893 0.893
0.319 0.319 0.319
0.681 0.681 0.681
0.500 0.500 0.500
```

Computed properties:
Total magnetic moment, μB per cell: 0.000
Volume, Å³/atom: 15.6

The winner here is 1, beating the second structure by 33 meV per atom.

## 1
Computed, not measured: a PBEsol-optimized structure of Mg2Zn2Cu at the SCAN level of DFT.

Cell and atoms, written as POSCAR:
```
Mg2Zn2Cu
1.0
2.189 -6.754 0.000
2.189 6.754 0.000
0.000 0.000 5.396
Mg Zn Cu
4 4 2
Direct
0.069 0.931 0.500
0.327 0.673 0.723
0.673 0.327 0.223
0.931 0.069 0.000
0.287 0.713 0.229
0.464 0.536 0.332
0.536 0.464 0.832
0.713 0.287 0.729
0.141 0.859 0.952
0.859 0.141 0.452
```

Computed properties:
Total magnetic moment, μB per cell: 0.000
Volume, Å³/atom: 16.0

## 2
Computed, not measured: a PBEsol-optimized structure of Mg2Zn2Cu at the SCAN level of DFT.

Cell and atoms, written as POSCAR:
```
Mg2Zn2Cu
1.0
4.517 -2.675 0.000
4.517 2.675 0.000
-2.230 0.000 6.627
Mg Zn Cu
4 4 2
Direct
0.047 0.279 0.139
0.279 0.047 0.639
0.721 0.953 0.361
0.953 0.721 0.861
0.251 0.520 0.523
0.480 0.749 0.977
0.520 0.251 0.023
0.749 0.480 0.477
0.276 0.724 0.250
0.724 0.276 0.750
```

Computed properties:
Total magnetic moment, μB per cell: 0.000
Volume, Å³/atom: 16.0

The winner here is 2, beating the second structure by 25 meV per atom.

## 1
Computed, not measured: a PBEsol-optimized structure of Mg2Zn2Cu at the SCAN level of DFT.

Cell and atoms, written as POSCAR:
```
Mg2Zn2Cu
1.0
5.097 -1.489 0.000
5.097 1.489 0.000
-2.348 0.000 5.497
Mg Zn Cu
2 2 1
Direct
0.132 0.132 0.279
0.868 0.868 0.721
0.164 0.164 0.825
0.836 0.836 0.175
0.500 0.500 0.500
```

Computed properties:
Total magnetic moment, μB per cell: 0.000
Volume, Å³/atom: 16.7

## 2
Computed, not measured: a PBEsol-optimized structure of Mg2Zn2Cu at the SCAN level of DFT.

Cell and atoms, written as POSCAR:
```
Mg2Zn2Cu
1.0
4.321 0.000 0.000
0.000 3.008 0.000
-0.250 0.000 12.169
Mg Zn Cu
4 4 2
Direct
0.230 0.250 0.196
0.245 0.750 0.429
0.755 0.250 0.571
0.770 0.750 0.804
0.251 0.750 0.003
0.261 0.750 0.664
0.739 0.250 0.336
0.749 0.250 0.997
0.273 0.250 0.838
0.727 0.750 0.162
```

Computed properties:
Total magnetic moment, μB per cell: 0.000
Volume, Å³/atom: 15.8

The winner here is 2, beating the second structure by 74 meV per atom.

## 1
Computed, not measured: a PBEsol-optimized structure of Mg2Zn3Cu at the SCAN level of DFT.

Cell and atoms, written as POSCAR:
```
Mg2Zn3Cu
1.0
2.526 1.458 4.121
-2.526 1.458 4.121
0.000 -2.917 4.121
Mg Zn Cu
2 3 1
Direct
0.127 0.127 0.127
0.873 0.873 0.873
0.000 0.500 0.500
0.500 0.000 0.500
0.500 0.500 0.000
0.500 0.500 0.500
```

Computed properties:
Total magnetic moment, μB per cell: 0.000
Volume, Å³/atom: 15.2

## 2
Computed, not measured: a PBEsol-optimized structure of Mg2Zn3Cu at the SCAN level of DFT.

Cell and atoms, written as POSCAR:
```
Mg2Zn3Cu
1.0
5.043 0.000 0.000
-2.521 4.367 0.000
0.000 0.000 8.305
Mg Zn Cu
4 6 2
Direct
0.333 0.667 0.059
0.333 0.667 0.441
0.667 0.333 0.559
0.667 0.333 0.941
0.167 0.335 0.750
0.167 0.833 0.750
0.335 0.167 0.250
0.665 0.833 0.750
0.833 0.167 0.250
0.833 0.665 0.250
0.000 0.000 0.000
0.000 0.000 0.500
```

Computed properties:
Total magnetic moment, μB per cell: 0.000
Volume, Å³/atom: 15.2

The winner here is 1, beating the second structure by 11 meV per atom.

## 1
Computed, not measured: a PBEsol-optimized structure of MgZn3Cu2 at the SCAN level of DFT.

Cell and atoms, written as POSCAR:
```
MgZn3Cu2
1.0
4.218 0.000 0.000
-2.109 3.653 0.000
0.000 0.000 10.735
Mg Zn Cu
2 6 4
Direct
0.000 0.000 0.250
0.000 0.000 0.750
0.000 0.000 0.000
0.000 0.000 0.500
0.333 0.667 0.109
0.333 0.667 0.391
0.667 0.333 0.609
0.667 0.333 0.891
0.333 0.667 0.628
0.333 0.667 0.872
0.667 0.333 0.128
0.667 0.333 0.372
```

Computed properties:
Total magnetic moment, μB per cell: 0.000
Volume, Å³/atom: 13.8

## 2
Computed, not measured: a PBEsol-optimized structure of MgZn3Cu2 at the SCAN level of DFT.

Cell and atoms, written as POSCAR:
```
MgZn3Cu2
1.0
4.342 -4.111 0.000
4.342 4.111 0.000
0.000 0.000 4.941
Mg Zn Cu
2 6 4
Direct
0.122 0.878 0.750
0.878 0.122 0.250
0.076 0.585 0.250
0.415 0.924 0.250
0.482 0.518 0.750
0.518 0.482 0.250
0.585 0.076 0.750
0.924 0.415 0.750
0.252 0.252 0.000
0.252 0.252 0.500
0.748 0.748 0.000
0.748 0.748 0.500
```

Computed properties:
Total magnetic moment, μB per cell: 0.000
Volume, Å³/atom: 14.7

The winner here is 1, beating the second structure by 21 meV per atom.